This record from Alexandria via LeMat-Bulk describes Ta3TiS6 after structural relaxation. The functional is PBE-GGA.

a = 7.213 Å, b = 7.213 Å, c = 7.213 Å
α = 87.28°, β = 87.28°, γ = 87.28°
Positions (direct):
Ta: 0.767 0.380 0.905
S: 0.900 0.672 0.058
S: 0.539 0.418 0.176
S: 0.100 0.328 0.942
Ti: 0.000 0.000 0.000
Ta: 0.095 0.233 0.620
S: 0.942 0.100 0.328
S: 0.328 0.942 0.100
Ta: 0.620 0.095 0.233
S: 0.461 0.582 0.824
S: 0.824 0.461 0.582
Ta: 0.905 0.767 0.380
S: 0.176 0.539 0.418
S: 0.582 0.824 0.461
S: 0.672 0.058 0.900
Ta: 0.233 0.620 0.095
S: 0.418 0.176 0.539
S: 0.058 0.900 0.672
Ta: 0.380 0.905 0.767
Ti: 0.500 0.500 0.500

## Properties
DFT total energy	-0.560	Ry per atom
calculated volume	18.70	Å³/atom
E_form (uncorrected)	-802	meV per atom

This record from Alexandria via LeMat-Bulk describes CdCuRh2C after structural relaxation. The functional is PBE-GGA.

a = 4.070 Å, b = 4.070 Å, c = 4.088 Å
α = 90.00°, β = 90.00°, γ = 90.00°
Positions (direct):
Rh: 0.000 0.500 0.000
Rh: 0.500 0.000 0.000
Cu: 0.000 0.000 0.500
Cd: 0.500 0.500 0.500
C: 0.000 0.000 0.000

## Properties
DFT total energy	-0.423	Ry per atom
calculated volume	13.55	Å³/atom
energy of formation from the pure elements	0.035	eV per atom

This record from Alexandria via LeMat-Bulk describes PaTl4F10 after structural relaxation. The functional is PBE-GGA.

a = 6.249 Å, b = 7.532 Å, c = 7.532 Å
α = 80.09°, β = 65.49°, γ = 65.49°
Positions (direct):
F: 0.039 0.079 0.255
F: 0.961 0.921 0.745
F: 0.706 0.255 0.921
Tl: 0.191 0.403 0.214
F: 0.373 0.921 0.745
Tl: 0.809 0.597 0.786
F: 0.118 0.255 0.921
F: 0.250 0.500 0.500
F: 0.750 0.500 0.500
F: 0.882 0.745 0.079
Pa: 0.000 0.000 0.000
F: 0.627 0.079 0.255
F: 0.294 0.745 0.079
Tl: 0.594 0.214 0.597
Tl: 0.406 0.786 0.403

## Properties
DFT total energy	-0.375	Ry per atom
calculated volume	19.57	Å³/atom
E_form (uncorrected)	-2589	meV per atom

This record from Alexandria via LeMat-Bulk describes Tb3Pm7Sm2 after structural relaxation. The functional is PBE-GGA.

a = 3.647 Å, b = 5.816 Å, c = 19.439 Å
α = 98.60°, β = 90.00°, γ = 90.00°
Positions (direct):
Sm: 0.000 0.852 0.703
Tb: 0.500 0.685 0.370
Tb: 0.500 0.500 0.000
Tb: 0.500 0.315 0.630
Pm: 0.000 0.231 0.463
Pm: 0.500 0.928 0.856
Pm: 0.000 0.591 0.183
Pm: 0.500 0.072 0.144
Pm: 0.000 0.409 0.817
Pm: 0.000 0.769 0.537
Sm: 0.000 0.148 0.297
Pm: 0.000 0.000 0.000

## Properties
DFT total energy	-0.339	Ry per atom
calculated volume	33.98	Å³/atom
energy of formation from the pure elements	0.108	eV per atom

This record from Alexandria via LeMat-Bulk describes HfAlCu3 after structural relaxation. The functional is PBE-GGA.

a = 4.883 Å, b = 4.883 Å, c = 4.883 Å
α = 90.00°, β = 90.00°, γ = 90.00°
Positions (direct):
Cu: 0.500 0.000 0.000
Cu: 0.000 0.500 0.000
Hf: 0.000 0.000 0.000
Al: 0.500 0.500 0.500
Cu: 0.000 0.000 0.500

## Properties
DFT total energy	-0.287	Ry per atom
calculated volume	23.29	Å³/atom
energy of formation from the pure elements	1.290	eV per atom

This record from Alexandria via LeMat-Bulk describes USeN after structural relaxation. The functional is PBE-GGA.

a = 3.157 Å, b = 3.157 Å, c = 5.914 Å
α = 105.48°, β = 105.48°, γ = 90.00°
Positions (direct):
Se: 0.003 0.003 0.006
U: 0.724 0.724 0.448
N: 0.273 0.273 0.546

## Properties
DFT total energy	-0.619	Ry per atom
calculated volume	18.20	Å³/atom
E_form (uncorrected)	-718	meV per atom

This record from Alexandria via LeMat-Bulk describes AlTe2RuI after structural relaxation. The functional is PBE-GGA.

a = 5.158 Å, b = 5.158 Å, c = 5.788 Å
α = 90.00°, β = 90.00°, γ = 90.00°
Positions (direct):
Te: 0.500 0.000 0.000
Te: 0.000 0.500 0.000
Ru: 0.000 0.000 0.000
Al: 0.500 0.500 0.500
I: 0.000 0.000 0.500

## Properties
DFT total energy	-0.273	Ry per atom
calculated volume	30.80	Å³/atom
E_form (uncorrected)	461	meV per atom

This record from Alexandria via LeMat-Bulk describes Dy2CrB10 after structural relaxation. The functional is PBE-GGA.

a = 4.145 Å, b = 5.659 Å, c = 11.292 Å
α = 90.00°, β = 90.00°, γ = 90.00°
Positions (direct):
B: 0.300 0.784 0.883
B: 0.300 0.216 0.117
Dy: 0.500 0.800 0.638
Dy: 0.500 0.700 0.138
B: 0.000 0.643 0.802
B: 0.700 0.284 0.617
B: 0.000 0.877 0.459
B: 0.000 0.143 0.698
B: 0.000 0.047 0.190
B: 0.000 0.377 0.041
B: 0.700 0.784 0.883
B: 0.700 0.216 0.117
Dy: 0.500 0.200 0.362
B: 0.300 0.716 0.383
B: 0.300 0.284 0.617
B: 0.000 0.547 0.310
Dy: 0.500 0.300 0.862
Cr: 0.000 0.500 0.500
Cr: 0.000 0.000 0.000
B: 0.000 0.453 0.690
B: 0.000 0.357 0.198
B: 0.000 0.953 0.810
B: 0.000 0.623 0.959
B: 0.000 0.123 0.541
B: 0.000 0.857 0.302
B: 0.700 0.716 0.383

## Properties
DFT total energy	-0.514	Ry per atom
calculated volume	10.19	Å³/atom
energy of formation from the pure elements	-0.409	eV per atom

This record from Alexandria via LeMat-Bulk describes AlCr2Co2 after structural relaxation. The functional is PBE-GGA.

a = 6.803 Å, b = 6.803 Å, c = 2.591 Å
α = 90.00°, β = 90.00°, γ = 90.00°
Positions (direct):
Cr: 0.329 0.171 0.500
Al: 0.500 0.500 0.000
Co: 0.624 0.124 0.000
Co: 0.376 0.876 0.000
Al: 0.000 0.000 0.000
Cr: 0.829 0.329 0.500
Co: 0.124 0.376 0.000
Co: 0.876 0.624 0.000
Cr: 0.671 0.829 0.500
Cr: 0.171 0.671 0.500

## Properties
DFT total energy	-0.542	Ry per atom
calculated volume	11.99	Å³/atom
energy of formation from the pure elements	0.060	eV per atom

This record from Alexandria via LeMat-Bulk describes TiAs2OsSe after structural relaxation. The functional is PBE-GGA.

a = 4.646 Å, b = 4.646 Å, c = 5.300 Å
α = 90.00°, β = 90.00°, γ = 90.00°
Positions (direct):
As: 0.500 0.000 0.000
As: 0.000 0.500 0.000
Se: 0.000 0.000 0.500
Os: 0.000 0.000 0.000
Ti: 0.500 0.500 0.500

## Properties
DFT total energy	-0.414	Ry per atom
calculated volume	22.88	Å³/atom
E_form (uncorrected)	746	meV per atom

This record from Alexandria via LeMat-Bulk describes Ba2CrMo after structural relaxation. The functional is PBE-GGA.

a = 3.554 Å, b = 3.554 Å, c = 9.903 Å
α = 90.00°, β = 90.00°, γ = 90.00°
Positions (direct):
Ba: 0.000 0.000 0.924
Mo: 0.500 0.500 0.655
Cr: 0.000 0.000 0.592
Ba: 0.500 0.500 0.330

## Properties
DFT total energy	-0.393	Ry per atom
calculated volume	31.27	Å³/atom
energy of formation from the pure elements	0.727	eV per atom

This record from Alexandria via LeMat-Bulk describes AcLa3F after structural relaxation. The functional is PBE-GGA.

a = 5.361 Å, b = 5.361 Å, c = 5.361 Å
α = 90.00°, β = 90.00°, γ = 90.00°
Positions (direct):
La: 0.500 0.000 0.000
F: 0.000 0.000 0.000
Ac: 0.500 0.500 0.500
La: 0.000 0.500 0.000
La: 0.000 0.000 0.500

## Properties
DFT total energy	-0.380	Ry per atom
calculated volume	30.82	Å³/atom
E_form (uncorrected)	-1016	meV per atom

This record from Alexandria via LeMat-Bulk describes GaNi4H after structural relaxation. The functional is PBE-GGA.

a = 4.410 Å, b = 5.039 Å, c = 5.982 Å
α = 105.39°, β = 111.73°, γ = 89.98°
Positions (direct):
Ga: 0.104 0.250 0.000
Ni: 0.289 0.652 0.399
Ga: 0.896 0.750 0.000
H: 0.000 0.500 0.500
Ni: 0.509 0.947 0.197
Ni: 0.711 0.348 0.601
Ni: 0.311 0.552 0.803
H: 0.500 0.000 0.500
Ni: 0.491 0.053 0.803
Ni: 0.890 0.849 0.602
Ni: 0.689 0.448 0.197
Ni: 0.110 0.151 0.398

## Properties
DFT total energy	-0.374	Ry per atom
calculated volume	9.86	Å³/atom

This record from Alexandria via LeMat-Bulk describes Er2Ga3Cu4Ge after structural relaxation. The functional is PBE-GGA.

a = 4.114 Å, b = 4.114 Å, c = 10.065 Å
α = 90.00°, β = 90.00°, γ = 90.00°
Positions (direct):
Er: 0.500 0.000 0.246
Cu: 0.000 0.500 0.365
Ga: 0.000 0.500 0.131
Cu: 0.500 0.500 0.000
Cu: 0.500 0.000 0.635
Er: 0.000 0.500 0.754
Cu: 0.000 0.000 0.000
Ga: 0.000 0.000 0.500
Ga: 0.500 0.000 0.869
Ge: 0.500 0.500 0.500

## Properties
DFT total energy	-0.318	Ry per atom
calculated volume	17.03	Å³/atom
energy of formation from the pure elements	-0.406	eV per atom

This record from Alexandria via LeMat-Bulk describes MnZnPt2 after structural relaxation. The functional is PBE-GGA.

a = 2.853 Å, b = 4.916 Å, c = 5.404 Å
α = 52.40°, β = 90.00°, γ = 90.00°
Positions (direct):
Pt: 0.000 0.000 0.000
Zn: 0.500 0.500 0.500
Mn: 0.000 0.000 0.500
Pt: 0.500 0.500 0.000

## Properties
DFT total energy	-0.437	Ry per atom
calculated volume	15.01	Å³/atom
energy of formation from the pure elements	-0.317	eV per atom

This record from Alexandria via LeMat-Bulk describes KZnAg2 after structural relaxation. The functional is PBE-GGA.

a = 10.223 Å, b = 10.223 Å, c = 10.223 Å
α = 17.66°, β = 17.66°, γ = 17.66°
Positions (direct):
K: 0.250 0.250 0.250
Zn: 0.750 0.750 0.750
Ag: 0.013 0.013 0.013
Ag: 0.487 0.487 0.487

## Properties
DFT total energy	-0.129	Ry per atom
calculated volume	21.46	Å³/atom
energy of formation from the pure elements	0.265	eV per atom

This record from Alexandria via LeMat-Bulk describes Rb2Y2Ti after structural relaxation. The functional is PBE-GGA.

a = 4.325 Å, b = 4.325 Å, c = 10.549 Å
α = 78.17°, β = 78.17°, γ = 90.00°
Positions (direct):
Y: 0.577 0.577 0.846
Rb: 0.750 0.250 0.500
Y: 0.423 0.423 0.154
Ti: 0.000 0.000 0.000
Rb: 0.250 0.750 0.500

## Properties
DFT total energy	-0.261	Ry per atom
calculated volume	37.78	Å³/atom
energy of formation from the pure elements	0.994	eV per atom

This record from Alexandria via LeMat-Bulk describes CaUAsO6 after structural relaxation. The functional is PBE-GGA.

a = 5.436 Å, b = 5.436 Å, c = 9.865 Å
α = 90.00°, β = 90.00°, γ = 120.00°
Positions (direct):
O: 0.620 0.650 0.143
O: 0.650 0.031 0.857
O: 0.620 0.969 0.357
As: 0.667 0.333 0.750
O: 0.031 0.650 0.357
U: 0.667 0.333 0.250
O: 0.380 0.031 0.643
O: 0.380 0.350 0.857
O: 0.350 0.969 0.143
Ca: 0.000 0.000 0.500
Ca: 0.000 0.000 0.000
O: 0.650 0.620 0.643
U: 0.333 0.667 0.750
O: 0.350 0.380 0.357
O: 0.969 0.620 0.857
O: 0.031 0.380 0.143
O: 0.969 0.350 0.643
As: 0.333 0.667 0.250

## Properties
DFT total energy	-0.564	Ry per atom
calculated volume	14.03	Å³/atom
E_form (uncorrected)	-2377	meV per atom

This record from Alexandria via LeMat-Bulk describes La2MnGe4Pd3 after structural relaxation. The functional is PBE-GGA.

a = 4.335 Å, b = 4.335 Å, c = 10.502 Å
α = 90.00°, β = 90.00°, γ = 90.00°
Positions (direct):
Ge: 0.500 0.500 0.000
La: 0.500 0.000 0.247
Mn: 0.500 0.500 0.500
Pd: 0.000 0.500 0.128
La: 0.000 0.500 0.753
Ge: 0.000 0.500 0.369
Pd: 0.000 0.000 0.500
Ge: 0.000 0.000 0.000
Pd: 0.500 0.000 0.872
Ge: 0.500 0.000 0.631

## Properties
DFT total energy	-0.445	Ry per atom
calculated volume	19.73	Å³/atom
energy of formation from the pure elements	-0.754	eV per atom

This record from Alexandria via LeMat-Bulk describes TaNbAu after structural relaxation. The functional is PBE-GGA.

a = 2.691 Å, b = 4.852 Å, c = 4.852 Å
α = 120.00°, β = 90.00°, γ = 90.00°
Positions (direct):
Au: 0.167 0.667 0.333
Ta: 0.667 0.333 0.667
Nb: 0.166 0.000 0.000

## Properties
DFT total energy	-0.607	Ry per atom
calculated volume	18.29	Å³/atom
energy of formation from the pure elements	0.144	eV per atom